# 1
The following is a GGA-PBE calculation of crystalline MgFe2Si2 at its relaxed geometry, from Alexandria.

```
MgFe2Si2
1.0
-6.041 -0.304 3.031
-2.256 -4.078 -4.905
0.811 -2.137 1.403
Fe Mg Si
4 2 4
Cartesian
-5.482 -2.734 1.569
-2.004 -3.784 -2.040
-2.030 -1.803 0.991
-5.455 -4.715 -1.462
0.000 0.000 0.000
-4.149 -2.191 -0.937
-1.646 -1.523 -1.367
-6.651 -2.859 -0.507
-4.155 -0.751 1.259
-4.142 -3.630 -3.133
```

**DFT total energy**: -61.8 eV for the cell shown
**Raw formation energy**: -0.307 eV per atom
**SG**: No. 127

# 2
The following is a GGA-PBE calculation of crystalline Cs2CdIn4Ge3 at its relaxed geometry, from Alexandria.

```
Cs2CdIn4Ge3
1.0
-4.481 1.999 -1.341
-2.001 -4.669 -0.271
-3.062 0.660 11.215
Ge Cs In Cd
3 2 4 1
Cartesian
-1.531 0.330 5.607
-4.923 1.578 9.155
-1.380 -2.252 1.254
-2.991 1.161 2.079
-3.312 -1.836 8.329
-4.171 1.416 6.402
0.000 0.000 0.000
-3.241 -1.335 -0.806
-2.131 -2.090 4.007
-4.772 -1.005 4.801
```

**DFT total energy**: -28.0 eV for the cell shown
**Energy relative to the elements**: -0.06 eV per atom
**SG**: No. 115

# 3
The following is a GGA-PBE calculation of crystalline TlAsRh2 at its relaxed geometry, from Alexandria.

```
TlAsRh2
1.0
4.650 0.000 0.000
0.000 4.651 0.000
0.000 0.000 3.124
As Rh Tl
1 2 1
Cartesian
0.000 2.325 1.562
2.325 2.325 0.000
0.000 0.000 0.000
2.325 0.000 1.562
```

**DFT total energy**: -21.5 eV for the cell shown
**Energy relative to the elements**: 0.06 eV per atom
**SG**: No. 123

Please write out number 2 again, unchanged.
The following is a GGA-PBE calculation of crystalline Cs2CdIn4Ge3 at its relaxed geometry, from Alexandria.

```
Cs2CdIn4Ge3
1.0
-4.481 1.999 -1.341
-2.001 -4.669 -0.271
-3.062 0.660 11.215
Ge Cs In Cd
3 2 4 1
Cartesian
-1.531 0.330 5.607
-4.923 1.578 9.155
-1.380 -2.252 1.254
-2.991 1.161 2.079
-3.312 -1.836 8.329
-4.171 1.416 6.402
0.000 0.000 0.000
-3.241 -1.335 -0.806
-2.131 -2.090 4.007
-4.772 -1.005 4.801
```

**DFT total energy**: -28.0 eV for the cell shown
**Energy relative to the elements**: -0.06 eV per atom
**SG**: No. 115

Among the records above, which one has the highest DFT total energy? TlAsRh2

Which value of DFT total energy does entry 3 give? -21.5 eV for the cell shown